Here is a relaxed KTa2FeGe crystal from Alexandria. Energies are from PBE-GGA.

abc: 4.749 4.632 4.749
angles: 90.00 90.00 90.00
Fractional coordinates of all 5 atoms:
K1 0.500 0.500 0.500
Ge1 0.000 0.500 0.000
Fe1 0.000 0.000 0.000
Ta1 0.000 0.000 0.500
Ta2 0.500 0.000 0.000

Properties
Total magnetization (μB/cell): 0.00
Symmetry: P4/mmm
E_tot (eV for the cell shown): -32.86